1.
## LaHoBe (GGA-PBE)

Data for a relaxed LaHoBe crystal.

The density comes out at 6.43 g/cm3. Its energy above the most stable polymorph in this dataset is 0.000 kcal/mol of atoms.

Unit cell a=6.862 b=6.862 c=6.862 alpha=90.00 beta=90.00 gamma=90.00
Space group F-43m (No. 216)
Symmetry-distinct sites (fractional):
La  0.000  0.000  0.000
Ho  0.250  0.250  0.750
Be  0.000  0.000  0.500

2.
## LiHoBe (GGA-PBE)

Data for a relaxed LiHoBe crystal.

The density comes out at 4.49 g/cm3. The total energy comes out at -2.544 eV per atom.

Unit cell a=6.443 b=6.443 c=6.443 alpha=90.00 beta=90.00 gamma=90.00
Space group F-43m (No. 216)
Symmetry-distinct sites (fractional):
Li  0.000  0.000  0.000
Ho  0.250  0.250  0.750
Be  0.000  0.000  0.500

3.
## LiHoBeSe3 (GGA-PBE)

Data for a relaxed LiHoBeSe3 crystal.

The density comes out at 5.13 g/cm3. The total energy comes out at -4.752 eV per atom.

Unit cell a=3.858 b=12.958 c=10.821 alpha=90.00 beta=90.00 gamma=90.00
Space group Cmcm (No. 63)
Symmetry-distinct sites (fractional):
Li  0.000  0.213  0.250
Ho  0.000  0.000  0.000
Be  0.000  0.472  0.750
Se  0.000  0.078  0.750
Se  0.000  0.362  0.589

The lowest density belongs to which entry? LiHoBe